(1)
# GGA-PBE YHo4Zr, optimized geometry
data_YHo4Zr
_chemical_formula_sum 'Y2 Ho8 Zr2'
_cell_length_a 8.330
_cell_length_b 8.330
_cell_length_c 6.248
_cell_angle_alpha 100.07
_cell_angle_beta 100.07
_cell_angle_gamma 116.34
_symmetry_space_group_name_H-M 'P 1'
_symmetry_Int_Tables_number 1
loop_
_symmetry_equiv_pos_as_xyz
'x,y,z'
loop_
_atom_site_label
_atom_site_type_symbol
_atom_site_fract_x
_atom_site_fract_y
_atom_site_fract_z
_atom_site_occupancy
Y1 Y 0.091 0.909 0.750 1
Y2 Y 0.909 0.091 0.250 1
Ho1 Ho 0.093 0.328 0.867 1
Ho2 Ho 0.218 0.593 0.462 1
Ho3 Ho 0.328 0.093 0.367 1
Ho4 Ho 0.407 0.782 0.038 1
Ho5 Ho 0.593 0.218 0.962 1
Ho6 Ho 0.672 0.907 0.633 1
Ho7 Ho 0.782 0.407 0.538 1
Ho8 Ho 0.907 0.672 0.133 1
Zr1 Zr 0.497 0.503 0.250 1
Zr2 Zr 0.503 0.497 0.750 1
# **Distance to the lowest polymorph of the same formula**: 72.7 meV per atom
# **V**: 30.5 Å³ per atom
# **VASP energy**: -0.19924 Ha/atom
# **ΔH_f (0 K)**: 0.8 eV per formula unit
# **M_tot**: 0.000 μB per atom
# **Space-group type**: C2/c, No. 15

(2)
# GGA-PBE NbZn2GeB, optimized geometry
data_NbZn2GeB
_chemical_formula_sum 'Nb1 Zn2 Ge1 B1'
_cell_length_a 4.414
_cell_length_b 4.414
_cell_length_c 5.058
_cell_angle_alpha 90.00
_cell_angle_beta 90.00
_cell_angle_gamma 90.00
_symmetry_space_group_name_H-M 'P 1'
_symmetry_Int_Tables_number 1
loop_
_symmetry_equiv_pos_as_xyz
'x,y,z'
loop_
_atom_site_label
_atom_site_type_symbol
_atom_site_fract_x
_atom_site_fract_y
_atom_site_fract_z
_atom_site_occupancy
Nb1 Nb 0.000 0.000 0.000 1
Zn1 Zn 0.000 0.500 0.500 1
Zn2 Zn 0.500 0.000 0.500 1
Ge1 Ge 0.000 0.000 0.500 1
B1 B 0.500 0.500 0.000 1
# **V**: 19.7 Å³ per atom
# **VASP energy**: -0.12327 Ha/atom
# **ΔH_f (0 K)**: 7.1 eV per formula unit
# **M_tot**: 0.000 μB per atom
# **Space-group type**: P4/mmm, No. 123

Question: Among the records above, which one has the highest VASP energy?
Answer: NbZn2GeB